# SrFeP2O | Alexandria via LeMat-Bulk | GGA+U | relaxed
# V: 26.195 Å³ per atom
# offset from the most stable computed form: 1.453 eV/atom
# M_tot: 5.68 μB per cell
# N(E_F): 6.9 states/eV/cell
# E: -0.128 Ha/atom
data_SrFeP2O
_cell_length_a 5.506
_cell_length_b 5.506
_cell_length_c 4.320
_cell_angle_alpha 90.00
_cell_angle_beta 90.00
_cell_angle_gamma 90.00
_symmetry_space_group_name_H-M 'P 4/m m m'
_symmetry_Int_Tables_number 123
_symmetry_space_group_name_Hall '-P 4 2'
loop_
_atom_site_label
_atom_site_fract_x
_atom_site_fract_y
_atom_site_fract_z
Sr1 0.000 0.000 0.000
Fe1 0.500 0.500 0.500
P1 0.000 0.500 0.000
O1 0.000 0.000 0.500